A plane-wave DFT calculation with PBE was carried out for Mg2CdMo after structural relaxation.

Cell and atoms, written as extended XYZ:
```
4
Lattice="-5.120 -2.005 -0.827 4.274 -3.654 -0.104 -0.304 -1.248 2.515" Properties=species:S:1:pos:R:3 pbc="T T T"
Cd -0.423 -2.829 -0.466
Mg 0.000 0.000 0.000
Mg -2.712 -1.627 0.844
Mo 1.985 -2.451 1.205
```

Output
For the total magnetization, the calculation gives 0.00 μB/f.u. The energy is -3.49 eV per atom. Its space group is C2/m, No. 12.

=====

A plane-wave DFT calculation with PBE was carried out for Ta3Rh after structural relaxation.

Cell and atoms, written as extended XYZ:
```
4
Lattice="-2.396 -0.455 2.172 -0.264 -3.115 -0.944 4.354 -1.716 4.445" Properties=species:S:1:pos:R:3 pbc="T T T"
Rh 0.000 0.000 0.000
Ta 2.177 -0.858 2.222
Ta -0.255 -2.209 1.711
Ta 1.949 -3.077 3.961
```

Output
For the total magnetization, the calculation gives 0.00 μB/f.u. The energy is -11.00 eV per atom. Its space group is P4/mmm, No. 123.

=====

A plane-wave DFT calculation with PBE was carried out for Th3Al6Pd20 after structural relaxation.

Cell and atoms, written as extended XYZ:
```
29
Lattice="-7.480 2.937 -3.768 -2.264 -2.774 -8.121 -6.892 -5.492 -1.053" Properties=species:S:1:pos:R:3 pbc="T T T"
Th -12.476 -3.997 -9.706
Th -4.159 -1.332 -3.235
Th 0.000 0.000 0.000
Al -8.698 -5.212 -7.700
Al -7.936 -0.118 -5.242
Al -7.669 -3.950 -4.007
Al -11.070 -2.615 -5.720
Al -5.565 -2.714 -7.221
Al -8.966 -1.379 -8.934
Pd -9.624 -4.654 -5.427
Pd -6.729 -4.707 -6.216
Pd -4.899 1.924 -2.468
Pd -5.680 0.967 -5.270
Pd -4.514 -3.597 -0.690
Pd -7.411 -3.354 -8.807
Pd -5.295 -4.554 -3.491
Pd -7.277 0.029 -2.831
Pd -1.483 -1.817 -5.319
Pd -2.377 -1.895 -0.363
Pd -7.094 -2.584 -1.989
Pd -0.781 -0.957 -2.802
Pd -4.063 -0.804 -6.619
Pd -2.580 1.013 -1.300
Pd -6.328 -2.027 -4.923
Pd -7.010 -0.675 -7.515
Pd -10.306 -3.302 -8.018
Pd -9.224 -1.975 -4.134
Pd -9.906 -0.623 -6.725
Pd -3.860 -3.712 -5.682
```

Output
For the total magnetization, the calculation gives 0.00 μB/f.u. The energy is -5.93 eV per atom. Its space group is Fm-3m, No. 225.

=====

A plane-wave DFT calculation with PBE was carried out for HoSc3Sb after structural relaxation.

Cell and atoms, written as extended XYZ:
```
20
Lattice="3.810 0.000 0.000 0.000 9.957 0.000 0.000 0.000 13.592" Properties=species:S:1:pos:R:3 pbc="T T T"
Ho 2.858 8.398 13.249
Ho 0.953 6.537 6.453
Ho 2.858 3.419 7.139
Ho 0.953 1.559 0.343
Sc 0.953 5.846 1.065
Sc 2.858 4.111 12.527
Sc 0.953 0.867 5.731
Sc 2.858 9.089 7.861
Sc 0.953 3.838 10.008
Sc 2.858 1.140 3.212
Sc 0.953 8.816 10.380
Sc 2.858 6.299 9.346
Sc 0.953 3.658 4.246
Sc 2.858 1.321 11.042
Sc 2.858 6.119 3.584
Sc 0.953 8.636 2.550
Sb 0.953 1.272 8.650
Sb 0.953 6.250 11.738
Sb 2.858 3.707 1.854
Sb 2.858 8.685 4.942
```

Output
The uncorrected formation energy comes out at -1.99 eV/f.u. For the total magnetization, the calculation gives 0.38 μB/f.u. Its space group is Pnma, No. 62.

=====

Number 1: calculated volume 18.63 A^3/atom. Number 2: calculated volume 17.21 A^3/atom. Number 3: calculated volume 17.04 A^3/atom. Number 4: calculated volume 25.78 A^3/atom.